Record 1
Tb2GaGe3Pt4 | PBE-GGA | optimized geometry

Spin magnetization ... 0.00 μB per cell
Space group ... P-4m2 (115)

Unit cell a=4.2930 b=4.2930 c=10.2094 alpha=90.00 beta=90.00 gamma=90.00
Sites, in units of the cell vectors:
Tb 0.0000 0.5000 0.2473
Tb 0.5000 0.0000 0.7527
Ga 0.5000 0.5000 0.0000
Ge 0.0000 0.0000 0.0000
Ge 0.0000 0.5000 0.6316
Ge 0.5000 0.0000 0.3684
Pt 0.0000 0.0000 0.5000
Pt 0.0000 0.5000 0.8687
Pt 0.5000 0.0000 0.1313
Pt 0.5000 0.5000 0.5000

***

Record 2
TbGaGePt3 | PBE-GGA | optimized geometry

Spin magnetization ... 0.00 μB per cell
Space group ... Cmcm (63)

Unit cell a=6.8913 b=6.8913 c=5.6054 alpha=90.00 beta=90.00 gamma=120.43
Sites, in units of the cell vectors:
Tb 0.1982 0.8018 0.7500
Tb 0.8018 0.1982 0.2500
Ga 0.4440 0.5560 0.7500
Ga 0.5560 0.4440 0.2500
Ge 0.1318 0.8682 0.2500
Ge 0.8682 0.1318 0.7500
Pt 0.2092 0.2092 0.0000
Pt 0.2092 0.2092 0.5000
Pt 0.3332 0.6668 0.2500
Pt 0.6668 0.3332 0.7500
Pt 0.7908 0.7908 0.0000
Pt 0.7908 0.7908 0.5000

***

Record 3
Tb2GaGePt6 | PBE-GGA | optimized geometry

Spin magnetization ... 0.00 μB per cell
Space group ... R-3m (166)

Unit cell a=8.4025 b=8.4025 c=8.4025 alpha=39.03 beta=39.03 gamma=39.03
Sites, in units of the cell vectors:
Tb 0.2035 0.2035 0.2035
Tb 0.7965 0.7965 0.7965
Ga 0.0000 0.0000 0.0000
Ge 0.5000 0.5000 0.5000
Pt 0.2436 0.7491 0.7491
Pt 0.2509 0.2509 0.7564
Pt 0.2509 0.7564 0.2509
Pt 0.7491 0.2436 0.7491
Pt 0.7491 0.7491 0.2436
Pt 0.7564 0.2509 0.2509

***

Record 4
Tb2Ga4GePt3 | PBE-GGA | optimized geometry

Spin magnetization ... 0.00 μB per cell
Space group ... P-4m2 (115)

Unit cell a=4.2665 b=4.2665 c=10.4868 alpha=90.00 beta=90.00 gamma=90.00
Sites, in units of the cell vectors:
Tb 0.0000 0.5000 0.2444
Tb 0.5000 0.0000 0.7556
Ga 0.0000 0.0000 0.0000
Ga 0.0000 0.5000 0.6389
Ga 0.5000 0.0000 0.3611
Ga 0.5000 0.5000 0.0000
Ge 0.0000 0.0000 0.5000
Pt 0.0000 0.5000 0.8696
Pt 0.5000 0.0000 0.1304
Pt 0.5000 0.5000 0.5000

***

Record 5
GaGeTePt2 | PBE-GGA | optimized geometry

Spin magnetization ... 0.00 μB per cell
Space group ... P4/mmm (123)

Unit cell a=4.7770 b=4.7770 c=4.8857 alpha=90.00 beta=90.00 gamma=90.00
Sites, in units of the cell vectors:
Ga 0.0000 0.0000 0.0000
Ge 0.0000 0.0000 0.5000
Te 0.5000 0.5000 0.0000
Pt 0.0000 0.5000 0.5000
Pt 0.5000 0.0000 0.5000

***

Record 6
Th2GaGePt6 | PBE-GGA | optimized geometry

Spin magnetization ... 0.00 μB per cell
Space group ... R-3m (166)

Unit cell a=8.3859 b=8.3859 c=8.3859 alpha=39.70 beta=39.70 gamma=39.70
Sites, in units of the cell vectors:
Th 0.2080 0.2080 0.2080
Th 0.7920 0.7920 0.7920
Ga 0.5000 0.5000 0.5000
Ge 0.0000 0.0000 0.0000
Pt 0.2478 0.7511 0.7511
Pt 0.2489 0.2489 0.7522
Pt 0.2489 0.7522 0.2489
Pt 0.7511 0.2478 0.7511
Pt 0.7511 0.7511 0.2478
Pt 0.7522 0.2489 0.2489

***

Number 1: total DFT energy (no corrections) -59.52 eV/cell. Number 2: total DFT energy (no corrections) -69.25 eV/cell. Number 3: total DFT energy (no corrections) -61.20 eV/cell. Number 4: total DFT energy (no corrections) -52.35 eV/cell. Number 5: total DFT energy (no corrections) -20.93 eV/cell. Number 6: total DFT energy (no corrections) -67.01 eV/cell.